Arrangement 1

A plane-wave DFT calculation with GGA-PBE was carried out for a geometry-optimized K3Nb3Si2O13 structure.

The space group is P-62c (No. 190) and the conventional cell measures 9.2480, 9.2480 and 7.9595 Å, with angles of 90.00, 90.00 and 120.00 degrees. The inequivalent atoms are K at (0.0322, 0.4159, 0.2500), Nb at (0.0000, 0.7617, 0.0000), Si at (0.3333, 0.6667, 0.5443), O at (0.0000, 0.1745, 0.0000), O at (0.0123, 0.7534, 0.7500), O at (0.1818, 0.6938, 0.0204) and O at (0.3333, 0.6667, 0.7500).

The calculation puts the volume at 14.04 A^3/atom.



Arrangement 2

A plane-wave DFT calculation with GGA-PBE was carried out for a geometry-optimized K3Nb3Si2O13 structure.

The space group is P-62m (No. 189) and the conventional cell measures 9.2574, 9.2574 and 7.9245 Å, with angles of 90.00, 90.00 and 120.00 degrees. The inequivalent atoms are K at (0.0000, 0.5955, 0.0000), K at (0.0000, 0.6105, 0.5000), Nb at (0.0000, 0.2379, 0.2496), Si at (0.3333, 0.6667, 0.2910), O at (0.0000, 0.2322, 0.0000), O at (0.0000, 0.2704, 0.5000), O at (0.0000, 0.8261, 0.2654), O at (0.1828, 0.4866, 0.2291) and O at (0.3333, 0.6667, 0.5000).

The calculation puts the volume at 14.00 A^3/atom.



The energy of each structure relative to the most stable one, in eV/atom, is as follows: arrangement 1 0.000; arrangement 2 0.007.



Arrangement 1

A plane-wave DFT calculation with GGA-PBE was carried out for a geometry-optimized KNb2Os structure.

The space group is Fm-3m (No. 225) and the conventional cell measures 6.6544, 6.6544 and 6.6544 Å, with angles of 90.00, 90.00 and 90.00 degrees. The inequivalent atoms are K at (0.0000, 0.0000, 0.0000), Nb at (0.2500, 0.2500, 0.2500) and Os at (0.0000, 0.0000, 0.5000).

The calculation puts the volume at 18.42 A^3/atom.



Arrangement 2

A plane-wave DFT calculation with GGA-PBE was carried out for a geometry-optimized KNb2Os structure.

The space group is I-42d (No. 122) and the conventional cell measures 5.2237, 5.2237 and 17.3710 Å, with angles of 90.00, 90.00 and 90.00 degrees. The inequivalent atoms are K at (0.0000, 0.0000, 0.0000), Nb at (0.0367, 0.2500, 0.6250) and Os at (0.0000, 0.0000, 0.5000).

The calculation puts the volume at 29.62 A^3/atom.



The energy of each structure relative to the most stable one, in eV/atom, is as follows: arrangement 1 0.000; arrangement 2 0.459.



Arrangement 1

A plane-wave DFT calculation with GGA-PBE was carried out for a geometry-optimized K2NbOs structure.

The space group is I-42d (No. 122) and the conventional cell measures 12.5178, 12.5178 and 4.6902 Å, with angles of 90.00, 90.00 and 90.00 degrees. The inequivalent atoms are K at (0.0894, 0.2500, 0.1250), Nb at (0.0000, 0.0000, 0.5000) and Os at (0.0000, 0.0000, 0.0000).

The calculation puts the volume at 45.93 A^3/atom.



Arrangement 2

A plane-wave DFT calculation with GGA-PBE was carried out for a geometry-optimized K2NbOs structure.

The space group is Fm-3m (No. 225) and the conventional cell measures 7.3450, 7.3450 and 7.3450 Å, with angles of 90.00, 90.00 and 90.00 degrees. The inequivalent atoms are K at (0.2500, 0.2500, 0.2500), Nb at (0.0000, 0.0000, 0.0000) and Os at (0.0000, 0.0000, 0.5000).

The calculation puts the volume at 24.77 A^3/atom.



The energy of each structure relative to the most stable one, in eV/atom, is as follows: arrangement 1 0.000; arrangement 2 1.100.



Arrangement 1

A plane-wave DFT calculation with GGA-PBE was carried out for a geometry-optimized KNbOs3 structure.

The space group is Pm-3m (No. 221) and the conventional cell measures 4.5010, 4.5010 and 4.5010 Å, with angles of 90.00, 90.00 and 90.00 degrees. The inequivalent atoms are K at (0.0000, 0.0000, 0.0000), Nb at (0.5000, 0.5000, 0.5000) and Os at (0.0000, 0.0000, 0.5000).

The calculation puts the volume at 18.24 A^3/atom.



Arrangement 2

A plane-wave DFT calculation with GGA-PBE was carried out for a geometry-optimized KNbOs3 structure.

The space group is Pm-3m (No. 221) and the conventional cell measures 4.8993, 4.8993 and 4.8993 Å, with angles of 90.00, 90.00 and 90.00 degrees. The inequivalent atoms are K at (0.0000, 0.0000, 0.0000), Nb at (0.5000, 0.5000, 0.5000) and Os at (0.0000, 0.5000, 0.5000).

The calculation puts the volume at 23.52 A^3/atom.



The energy of each structure relative to the most stable one, in eV/atom, is as follows: arrangement 1 1.371; arrangement 2 0.000.